1.
## TaTlCu2Cl8 (GGA-PBE)

Data for TaTlCu2Cl8 after structural relaxation.

POSCAR file:
```
TaTlCu2Cl8
1.0
3.0101 1.7379 11.1744
-3.0101 1.7379 11.1744
0.0000 -3.4758 11.1744
Ta Tl Cu Cl
1 1 2 8
Direct
0.0000 0.0000 0.0000
0.5000 0.5000 0.5000
0.2570 0.2570 0.2570
0.7430 0.7430 0.7430
0.0537 0.3479 0.7363
0.1923 0.1923 0.1923
0.2637 0.6521 0.9463
0.3479 0.7363 0.0537
0.6521 0.9463 0.2637
0.7363 0.0537 0.3479
0.8077 0.8077 0.8077
0.9463 0.2637 0.6521
```

Computed properties:
Total magnetization ... 0.16 μB per formula unit
Formation energy without anion corrections ... -874 meV per atom
SG ... No. 155

2.
## InCuRe2Ru (GGA-PBE)

Data for InCuRe2Ru after structural relaxation.

POSCAR file:
```
InCuRe2Ru
1.0
4.8988 0.0000 0.0000
0.0000 4.8988 0.0000
0.0000 0.0000 4.7946
In Cu Re Ru
1 1 2 1
Direct
0.0000 0.0000 0.0000
0.5000 0.5000 0.5000
0.0000 0.5000 0.0000
0.5000 0.0000 0.0000
0.0000 0.0000 0.5000
```

Computed properties:
Total magnetization ... 4.51 μB per formula unit
Energy of formation from the pure elements ... 2.967 eV/atom
SG ... No. 123

3.
## AlReTc (GGA-PBE)

Data for AlReTc after structural relaxation.

POSCAR file:
```
AlReTc
1.0
2.8024 0.0000 0.0000
-1.4012 2.4269 0.0000
0.0000 0.0000 6.5403
Al Re Tc
1 1 1
Direct
0.0000 0.0000 0.0000
0.3333 0.6667 0.3431
0.6667 0.3333 0.6626
```

Computed properties:
E above lowest polymorph ... 0.2109 eV per atom
Total magnetization ... 0.00 μB per formula unit
Energy of formation from the pure elements ... -0.133 eV/atom
SG ... No. 156